Entry 1:
This record from OQMD describes crystalline AlIrNO at its relaxed geometry. The functional is PBE.

The structure in extended XYZ format:
```
8
Lattice="-0.348 -1.101 3.564 -2.643 -2.454 -1.016 5.021 -4.975 -1.047" Properties=species:S:1:pos:R:3 pbc="T T T"
Al 1.589 -3.927 1.896
Al 0.441 -4.603 -0.394
Ir -0.188 -1.443 0.521
Ir 2.218 -7.086 0.981
N -0.072 -4.817 1.459
N 2.102 -3.713 0.043
O -0.922 -1.439 2.419
O -2.069 -2.115 0.129
```

Calculated values
Total magnetic moment, μB/cell: 0.0
E above lowest polymorph, meV per atom: 1176

=====

Entry 2:
This record from OQMD describes crystalline LuHfCu at its relaxed geometry. The functional is PBE.

The structure in extended XYZ format:
```
3
Lattice="1.880 1.305 3.949 -2.507 0.053 3.814 0.776 -3.073 3.284" Properties=species:S:1:pos:R:3 pbc="T T T"
Cu 0.000 0.000 0.000
Hf 0.037 -0.429 2.762
Lu 0.112 -1.287 8.285
```

Calculated values
Total magnetic moment, μB/cell: 0.2
E above lowest polymorph, meV per atom: 0

=====

Entry 3:
This record from OQMD describes crystalline PrDySO2 at its relaxed geometry. The functional is PBE.

The structure in extended XYZ format:
```
5
Lattice="-0.217 1.366 3.650 -2.650 -2.561 -1.286 3.868 -5.071 2.128" Properties=species:S:1:pos:R:3 pbc="T T T"
Dy 0.930 -4.884 1.883
O -0.373 -3.175 1.166
O 1.438 -3.177 3.362
Pr 0.044 -1.348 2.595
S 3.829 -5.021 2.107
```

Calculated values
Total magnetic moment, μB/cell: 0.0
Raw total energy, eV/atom: -7.79

=====

Entry 4:
This record from OQMD describes crystalline TbHoMo2C3 at its relaxed geometry. The functional is PBE.

The structure in extended XYZ format:
```
7
Lattice="5.665 -1.696 0.000 5.665 1.696 0.000 -1.740 0.000 5.432" Properties=species:S:1:pos:R:3 pbc="T T T"
C 2.662 0.000 1.318
C 6.943 0.000 4.122
C 9.588 0.000 5.418
Ho 3.193 0.000 3.691
Mo 9.410 0.000 0.681
Mo 0.179 0.000 4.750
Tb 6.389 0.000 1.748
```

Calculated values
Total magnetic moment, μB/cell: 0.0
Raw total energy, eV/atom: -8.69

=====

Entry 5:
This record from OQMD describes crystalline TmZrAl at its relaxed geometry. The functional is PBE.

The structure in extended XYZ format:
```
3
Lattice="-3.295 -3.417 -1.157 -2.273 -2.497 3.531 -4.742 0.781 0.880" Properties=species:S:1:pos:R:3 pbc="T T T"
Al -2.578 -1.283 0.813
Tm 0.000 0.000 0.000
Zr -7.733 -3.850 2.440
```

Calculated values
Total magnetic moment, μB/cell: 1.9
Raw total energy, eV/atom: -4.77

=====

Entry 6:
This record from OQMD describes crystalline SrNdSm at its relaxed geometry. The functional is PBE.

The structure in extended XYZ format:
```
3
Lattice="0.000 4.122 4.122 4.122 0.000 4.122 4.122 4.122 0.000" Properties=species:S:1:pos:R:3 pbc="T T T"
Nd 2.061 2.061 2.061
Sm 0.000 0.000 0.000
Sr 6.183 6.183 6.183
```

Calculated values
Total magnetic moment, μB/cell: 0.1
Raw total energy, eV/atom: -2.94

=====

Entry 7:
This record from OQMD describes crystalline YTm2Cu4Si4 at its relaxed geometry. The functional is PBE.

The structure in extended XYZ format:
```
11
Lattice="5.318 -5.570 -1.264 -1.068 -7.242 2.703 -2.336 5.908 -4.532" Properties=species:S:1:pos:R:3 pbc="T T T"
Cu 2.324 -4.132 -1.311
Cu 3.764 -8.472 -0.823
Cu -1.850 1.567 -2.270
Cu -0.410 -2.772 -1.782
Si 0.923 -2.782 0.313
Si 3.327 -10.030 1.127
Si 2.673 -6.344 -0.345
Si -0.758 -0.560 -2.748
Tm 2.040 -1.484 -2.712
Tm -0.125 -5.420 -0.381
Y 0.000 0.000 0.000
```

Calculated values
Total magnetic moment, μB/cell: 0.0
Raw total energy, eV/atom: -5.37

=====

Entry 8:
This record from OQMD describes crystalline Tb2ErMg3Ir2Pt at its relaxed geometry. The functional is PBE.

The structure in extended XYZ format:
```
9
Lattice="4.033 0.000 0.000 0.000 6.338 3.662 0.000 -6.338 3.662" Properties=species:S:1:pos:R:3 pbc="T T T"
Er 0.000 0.000 4.307
Ir 2.017 2.093 3.666
Ir 2.017 -2.093 3.666
Mg 2.017 0.000 1.822
Mg 2.017 1.564 6.412
Mg 2.017 -1.564 6.412
Pt 0.000 0.000 7.308
Tb 0.000 2.620 1.514
Tb 0.000 -2.620 1.514
```

Calculated values
Total magnetic moment, μB/cell: 0.0
Raw total energy, eV/atom: -5.48

=====

Q: Which of these has the highest total magnetic moment?
A: TmZrAl

=====

Q: total magnetic moment of number 4 (TbHoMo2C3)?
A: 0.0 μB/cell

=====

Q: total magnetic moment of number 1 (AlIrNO)?
A: 0.0 μB/cell

=====

Q: Which value of total magnetic moment does entry 8 give?
A: 0.0 μB/cell